# 1
DFT (PBE-GGA) results for an optimized crystal structure of Sc6Al2O.

## Properties
Crystal system   cubic
Spin magnetization   0.0 μB per formula unit
Fermi-level density of states   1.09 states/eV/atom
Raw formation energy   -0.902 eV per atom

Cell and atoms, written as CIF:
```
data_Sc6Al2O
_chemical_formula_sum 'Sc24 Al8 O4'
_cell_length_a 8.853
_cell_length_b 8.853
_cell_length_c 8.853
_cell_angle_alpha 90.00
_cell_angle_beta 90.00
_cell_angle_gamma 90.00
_space_group_name_H-M_alt 'F m -3 m'
_space_group_IT_number 225
_space_group_name_Hall '-F 4 2 3'
loop_
_atom_site_label
_atom_site_type_symbol
_atom_site_fract_x
_atom_site_fract_y
_atom_site_fract_z
_atom_site_occupancy
Sc1 Sc 0.000 0.000 0.248 1
Al1 Al 0.250 0.250 0.250 1
O1 O 0.000 0.000 0.000 1
```

=====

# 2
DFT (PBE-GGA) results for an optimized crystal structure of Sc3AlO6.

## Properties
Crystal system   trigonal
Spin magnetization   0.0 μB per formula unit
Fermi-level density of states   0.00 states/eV/atom
Raw formation energy   -3.417 eV per atom
Polymorph energy (0 for the lowest one)   0.0 meV per atom

Cell and atoms, written as CIF:
```
data_Sc3AlO6
_chemical_formula_sum 'Sc18 Al6 O36'
_cell_length_a 8.7535
_cell_length_b 8.7535
_cell_length_c 10.1909
_cell_angle_alpha 90.00
_cell_angle_beta 90.00
_cell_angle_gamma 120.00
_space_group_name_H-M_alt 'R -3'
_space_group_IT_number 148
_space_group_name_Hall '-R 3'
loop_
_atom_site_label
_atom_site_type_symbol
_atom_site_fract_x
_atom_site_fract_y
_atom_site_fract_z
_atom_site_occupancy
Sc1 Sc 0.0419 0.7742 0.2055 1
Al1 Al 0.0000 0.0000 0.0000 1
Al2 Al 0.0000 0.0000 0.5000 1
O1 O 0.0268 0.8243 0.4012 1
O2 O 0.0268 0.8424 0.8840 1
```

=====

# 3
DFT (PBE-GGA) results for an optimized crystal structure of ScAl2O2.

## Properties
Crystal system   tetragonal
Spin magnetization   0.6 μB per formula unit
Fermi-level density of states   0.43 states/eV/atom
Raw formation energy   -1.619 eV per atom
Polymorph energy (0 for the lowest one)   226.8 meV per atom

Cell and atoms, written as CIF:
```
data_ScAl2O2
_chemical_formula_sum 'Sc2 Al4 O4'
_cell_length_a 3.407
_cell_length_b 3.407
_cell_length_c 13.044
_cell_angle_alpha 90.00
_cell_angle_beta 90.00
_cell_angle_gamma 90.00
_space_group_name_H-M_alt 'I 4/m m m'
_space_group_IT_number 139
_space_group_name_Hall '-I 4 2'
loop_
_atom_site_label
_atom_site_type_symbol
_atom_site_fract_x
_atom_site_fract_y
_atom_site_fract_z
_atom_site_occupancy
Sc1 Sc 0.000 0.000 0.000 1
Al1 Al 0.000 0.000 0.318 1
O1 O 0.000 0.500 0.250 1
```

=====

# 4
DFT (PBE-GGA) results for an optimized crystal structure of Sc2AlO4.

## Properties
Crystal system   monoclinic
Spin magnetization   0.0 μB per formula unit
Fermi-level density of states   0.33 states/eV/atom
Raw formation energy   -2.978 eV per atom
Polymorph energy (0 for the lowest one)   72.6 meV per atom

Cell and atoms, written as CIF:
```
data_Sc2AlO4
_chemical_formula_sum 'Sc4 Al2 O8'
_cell_length_a 10.567
_cell_length_b 2.978
_cell_length_c 5.468
_cell_angle_alpha 90.00
_cell_angle_beta 118.17
_cell_angle_gamma 90.00
_space_group_name_H-M_alt 'C 1 2/m 1'
_space_group_IT_number 12
_space_group_name_Hall '-C 2y'
loop_
_atom_site_label
_atom_site_type_symbol
_atom_site_fract_x
_atom_site_fract_y
_atom_site_fract_z
_atom_site_occupancy
Sc1 Sc 0.202 0.000 0.196 1
Al1 Al 0.000 0.500 0.500 1
O1 O 0.115 0.500 0.888 1
O2 O 0.126 0.000 0.494 1
```

=====

# 5
DFT (PBE-GGA) results for an optimized crystal structure of Sc3Al5O12.

## Properties
Crystal system   cubic
Spin magnetization   0.0 μB per formula unit
Fermi-level density of states   0.00 states/eV/atom
Raw formation energy   -3.186 eV per atom

Cell and atoms, written as CIF:
```
data_Sc3Al5O12
_chemical_formula_sum 'Sc24 Al40 O96'
_cell_length_a 11.781
_cell_length_b 11.781
_cell_length_c 11.781
_cell_angle_alpha 90.00
_cell_angle_beta 90.00
_cell_angle_gamma 90.00
_space_group_name_H-M_alt 'I a -3 d'
_space_group_IT_number 230
_space_group_name_Hall '-I 4bd 2c 3'
loop_
_atom_site_label
_atom_site_type_symbol
_atom_site_fract_x
_atom_site_fract_y
_atom_site_fract_z
_atom_site_occupancy
Sc1 Sc 0.000 0.250 0.125 1
Al1 Al 0.000 0.000 0.000 1
Al2 Al 0.000 0.250 0.375 1
O1 O 0.027 0.054 0.651 1
```

=====

# 6
DFT (PBE-GGA) results for an optimized crystal structure of ScAl3O.

## Properties
Crystal system   cubic
Spin magnetization   1.8 μB per formula unit
Fermi-level density of states   1.74 states/eV/atom
Raw formation energy   1.394 eV per atom
Polymorph energy (0 for the lowest one)   1991.6 meV per atom

Cell and atoms, written as CIF:
```
data_ScAl3O
_chemical_formula_sum 'Sc1 Al3 O1'
_cell_length_a 5.365
_cell_length_b 5.365
_cell_length_c 5.365
_cell_angle_alpha 90.00
_cell_angle_beta 90.00
_cell_angle_gamma 90.00
_space_group_name_H-M_alt 'P m -3 m'
_space_group_IT_number 221
_space_group_name_Hall '-P 4 2 3'
loop_
_atom_site_label
_atom_site_type_symbol
_atom_site_fract_x
_atom_site_fract_y
_atom_site_fract_z
_atom_site_occupancy
Sc1 Sc 0.000 0.000 0.000 1
Al1 Al 0.000 0.000 0.500 1
O1 O 0.500 0.500 0.500 1
```

=====

# 7
DFT (PBE-GGA) results for an optimized crystal structure of ScAl2O4.

## Properties
Crystal system   tetragonal
Spin magnetization   0.7 μB per formula unit
Fermi-level density of states   0.33 states/eV/atom
Raw formation energy   -2.714 eV per atom
Polymorph energy (0 for the lowest one)   99.5 meV per atom

Cell and atoms, written as CIF:
```
data_ScAl2O4
_chemical_formula_sum 'Sc1 Al2 O4'
_cell_length_a 4.237
_cell_length_b 4.237
_cell_length_c 5.191
_cell_angle_alpha 90.00
_cell_angle_beta 90.00
_cell_angle_gamma 90.00
_space_group_name_H-M_alt 'P -4 2 m'
_space_group_IT_number 111
_space_group_name_Hall 'P -4 2'
loop_
_atom_site_label
_atom_site_type_symbol
_atom_site_fract_x
_atom_site_fract_y
_atom_site_fract_z
_atom_site_occupancy
Sc1 Sc 0.000 0.000 0.000 1
Al1 Al 0.000 0.500 0.500 1
O1 O 0.240 0.240 0.309 1
```

=====

# 8
DFT (PBE-GGA) results for an optimized crystal structure of Sc2AlO4.

## Properties
Crystal system   orthorhombic
Spin magnetization   1.0 μB per formula unit
Fermi-level density of states   0.06 states/eV/atom
Raw formation energy   -3.051 eV per atom
Polymorph energy (0 for the lowest one)   0.0 meV per atom

Cell and atoms, written as CIF:
```
data_Sc2AlO4
_chemical_formula_sum 'Sc8 Al4 O16'
_cell_length_a 9.991
_cell_length_b 3.285
_cell_length_c 10.608
_cell_angle_alpha 90.00
_cell_angle_beta 90.00
_cell_angle_gamma 90.00
_space_group_name_H-M_alt 'P n m a'
_space_group_IT_number 62
_space_group_name_Hall '-P 2ac 2n'
loop_
_atom_site_label
_atom_site_type_symbol
_atom_site_fract_x
_atom_site_fract_y
_atom_site_fract_z
_atom_site_occupancy
Sc1 Sc 0.121 0.250 0.212 1
Sc2 Sc 0.122 0.250 0.567 1
Al1 Al 0.157 0.250 0.889 1
O1 O 0.014 0.250 0.390 1
O2 O 0.015 0.750 0.142 1
O3 O 0.241 0.250 0.741 1
O4 O 0.245 0.250 0.035 1
```

=====

# 9
DFT (PBE-GGA) results for an optimized crystal structure of ScAl2O4.

## Properties
Crystal system   orthorhombic
Spin magnetization   0.0 μB per formula unit
Raw formation energy   -2.814 eV per atom
Polymorph energy (0 for the lowest one)   0.0 meV per atom

Cell and atoms, written as CIF:
```
data_ScAl2O4
_chemical_formula_sum 'Sc4 Al8 O16'
_cell_length_a 6.527
_cell_length_b 7.008
_cell_length_c 7.483
_cell_angle_alpha 90.00
_cell_angle_beta 90.00
_cell_angle_gamma 90.00
_space_group_name_H-M_alt 'I 21 21 21'
_space_group_IT_number 24
_space_group_name_Hall 'I 2b 2c'
loop_
_atom_site_label
_atom_site_type_symbol
_atom_site_fract_x
_atom_site_fract_y
_atom_site_fract_z
_atom_site_occupancy
Sc1 Sc 0.000 0.250 0.085 1
Al1 Al 0.127 0.000 0.750 1
Al2 Al 0.250 0.344 0.500 1
O1 O 0.048 0.492 0.939 1
O2 O 0.215 0.203 0.303 1
```

=====

# 10
DFT (PBE-GGA) results for an optimized crystal structure of Sc3AlO6.

## Properties
Crystal system   orthorhombic
Spin magnetization   0.0 μB per formula unit
Fermi-level density of states   0.00 states/eV/atom
Raw formation energy   -3.342 eV per atom
Polymorph energy (0 for the lowest one)   75.1 meV per atom

Cell and atoms, written as CIF:
```
data_Sc3AlO6
_chemical_formula_sum 'Sc12 Al4 O24'
_cell_length_a 8.338
_cell_length_b 10.486
_cell_length_c 5.105
_cell_angle_alpha 90.00
_cell_angle_beta 90.00
_cell_angle_gamma 90.00
_space_group_name_H-M_alt 'C m c 21'
_space_group_IT_number 36
_space_group_name_Hall 'C 2c -2'
loop_
_atom_site_label
_atom_site_type_symbol
_atom_site_fract_x
_atom_site_fract_y
_atom_site_fract_z
_atom_site_occupancy
Sc1 Sc 0.000 0.100 0.000 1
Sc2 Sc 0.192 0.396 0.057 1
Al1 Al 0.000 0.303 0.585 1
O1 O 0.000 0.286 0.241 1
O2 O 0.000 0.457 0.729 1
O3 O 0.160 0.230 0.763 1
O4 O 0.162 0.022 0.279 1
```

=====

# 11
DFT (PBE-GGA) results for an optimized crystal structure of ScAlO.

## Properties
Crystal system   hexagonal
Spin magnetization   0.6 μB per formula unit
Fermi-level density of states   0.73 states/eV/atom
Raw formation energy   -1.359 eV per atom

Cell and atoms, written as CIF:
```
data_ScAlO
_chemical_formula_sum 'Sc2 Al2 O2'
_cell_length_a 2.9470
_cell_length_b 2.9470
_cell_length_c 10.8492
_cell_angle_alpha 90.00
_cell_angle_beta 90.00
_cell_angle_gamma 120.00
_space_group_name_H-M_alt 'P -6 m 2'
_space_group_IT_number 187
_space_group_name_Hall 'P -6 2'
loop_
_atom_site_label
_atom_site_type_symbol
_atom_site_fract_x
_atom_site_fract_y
_atom_site_fract_z
_atom_site_occupancy
Sc1 Sc 0.0000 0.0000 0.2229 1
Al1 Al 0.0000 0.0000 0.5000 1
Al2 Al 0.6667 0.3333 0.0000 1
O1 O 0.6667 0.3333 0.3913 1
```

=====

# 12
DFT (PBE-GGA) results for an optimized crystal structure of ScAl3O.

## Properties
Crystal system   cubic
Spin magnetization   0.0 μB per formula unit
Fermi-level density of states   0.65 states/eV/atom
Raw formation energy   -0.598 eV per atom
Polymorph energy (0 for the lowest one)   0.0 meV per atom

Cell and atoms, written as CIF:
```
data_ScAl3O
_chemical_formula_sum 'Sc1 Al3 O1'
_cell_length_a 4.268
_cell_length_b 4.268
_cell_length_c 4.268
_cell_angle_alpha 90.00
_cell_angle_beta 90.00
_cell_angle_gamma 90.00
_space_group_name_H-M_alt 'P m -3 m'
_space_group_IT_number 221
_space_group_name_Hall '-P 4 2 3'
loop_
_atom_site_label
_atom_site_type_symbol
_atom_site_fract_x
_atom_site_fract_y
_atom_site_fract_z
_atom_site_occupancy
Sc1 Sc 0.000 0.000 0.000 1
Al1 Al 0.000 0.500 0.500 1
O1 O 0.500 0.500 0.500 1
```

=====

# 13
DFT (PBE-GGA) results for an optimized crystal structure of ScAl2O2.

## Properties
Crystal system   tetragonal
Spin magnetization   0.0 μB per formula unit
Fermi-level density of states   0.46 states/eV/atom
Raw formation energy   -0.761 eV per atom
Polymorph energy (0 for the lowest one)   1084.0 meV per atom

Cell and atoms, written as CIF:
```
data_ScAl2O2
_chemical_formula_sum 'Sc2 Al4 O4'
_cell_length_a 3.295
_cell_length_b 3.295
_cell_length_c 12.164
_cell_angle_alpha 90.00
_cell_angle_beta 90.00
_cell_angle_gamma 90.00
_space_group_name_H-M_alt 'I 4/m m m'
_space_group_IT_number 139
_space_group_name_Hall '-I 4 2'
loop_
_atom_site_label
_atom_site_type_symbol
_atom_site_fract_x
_atom_site_fract_y
_atom_site_fract_z
_atom_site_occupancy
Sc1 Sc 0.000 0.000 0.000 1
Al1 Al 0.000 0.500 0.250 1
O1 O 0.000 0.000 0.403 1
```

=====

# 14
DFT (PBE-GGA) results for an optimized crystal structure of Sm3Sc2Al3O12.

## Properties
Crystal system   cubic
Spin magnetization   0.0 μB per formula unit
Fermi-level density of states   0.00 states/eV/atom
Raw formation energy   -3.370 eV per atom

Cell and atoms, written as CIF:
```
data_Sm3Sc2Al3O12
_chemical_formula_sum 'Sm24 Sc16 Al24 O96'
_cell_length_a 12.581
_cell_length_b 12.581
_cell_length_c 12.581
_cell_angle_alpha 90.00
_cell_angle_beta 90.00
_cell_angle_gamma 90.00
_space_group_name_H-M_alt 'I a -3 d'
_space_group_IT_number 230
_space_group_name_Hall '-I 4bd 2c 3'
loop_
_atom_site_label
_atom_site_type_symbol
_atom_site_fract_x
_atom_site_fract_y
_atom_site_fract_z
_atom_site_occupancy
Sm1 Sm 0.000 0.250 0.125 1
Sc1 Sc 0.000 0.000 0.000 1
Al1 Al 0.000 0.250 0.375 1
O1 O 0.033 0.055 0.656 1
```

=====

# 15
DFT (PBE-GGA) results for an optimized crystal structure of Sc4AlSnO.

## Properties
Crystal system   orthorhombic
Spin magnetization   0.0 μB per formula unit
Fermi-level density of states   0.87 states/eV/atom
Raw formation energy   -1.177 eV per atom

Cell and atoms, written as CIF:
```
data_Sc4AlSnO
_chemical_formula_sum 'Sc16 Al4 Sn4 O4'
_cell_length_a 6.071
_cell_length_b 15.202
_cell_length_c 6.073
_cell_angle_alpha 90.00
_cell_angle_beta 90.00
_cell_angle_gamma 90.00
_space_group_name_H-M_alt 'C m c m'
_space_group_IT_number 63
_space_group_name_Hall '-C 2c 2'
loop_
_atom_site_label
_atom_site_type_symbol
_atom_site_fract_x
_atom_site_fract_y
_atom_site_fract_z
_atom_site_occupancy
Sc1 Sc 0.000 0.084 0.250 1
Sc2 Sc 0.000 0.410 0.250 1
Sc3 Sc 0.250 0.250 0.000 1
Al1 Al 0.000 0.111 0.750 1
Sn1 Sn 0.000 0.394 0.750 1
O1 O 0.000 0.250 0.250 1
```